Record 1
## KZr2Pt2 (PBE)

Data for KZr2Pt2 after structural relaxation.

Cell: 8.542 8.542 2.930 Å, 90.00 90.00 90.00°
Fractional positions:
Zr (0.864, 0.636, 0.000)
Zr (0.636, 0.136, 0.000)
Zr (0.136, 0.364, 0.000)
Zr (0.364, 0.864, 0.000)
Pt (0.156, 0.656, 0.500)
Pt (0.656, 0.844, 0.500)
Pt (0.844, 0.344, 0.500)
Pt (0.344, 0.156, 0.500)
K (0.000, 0.000, 0.000)
K (0.500, 0.500, 0.000)

## Properties
- Symmetry: P4/mbm
- Polymorph energy (0 for the lowest one): 0.049 eV/atom

=====

Record 2
## KZr2Pt (PBE)

Data for KZr2Pt after structural relaxation.

Cell: 5.527 5.527 9.990 Å, 73.94 73.94 90.00°
Fractional positions:
Zr (0.875, 0.140, 0.750)
Zr (0.890, 0.125, 0.250)
Zr (0.375, 0.110, 0.750)
Zr (0.860, 0.625, 0.250)
Pt (0.750, 0.250, 0.500)
Pt (0.000, 0.000, 0.000)
K (0.250, 0.750, 0.500)
K (0.500, 0.500, 0.000)

## Properties
- Symmetry: I-42d
- Polymorph energy (0 for the lowest one): 0.812 eV/atom

=====

Record 3
## KZr2Pt (PBE)

Data for KZr2Pt after structural relaxation.

Cell: 5.053 5.053 5.053 Å, 60.00 60.00 60.00°
Each line ends with the local moment (μB).
Fractional positions:
Zr (0.000, 0.000, 0.000)  0.63
Zr (0.250, 0.250, 0.250)  1.12
Pt (0.750, 0.750, 0.750)  0.06
K (0.500, 0.500, 0.500)  0.03

## Properties
- Symmetry: F-43m
- Polymorph energy (0 for the lowest one): 0.737 eV/atom

=====

Record 4
## KZr2Pt (PBE)

Data for KZr2Pt after structural relaxation.

Cell: 3.682 4.924 4.904 Å, 90.00 90.00 90.00°
Fractional positions:
K (0.500, 0.000, 0.500)
Pt (0.000, 0.500, 0.500)
Zr (0.000, 0.000, 0.000)
Zr (0.500, 0.500, 0.000)

## Properties
- Symmetry: Pmmm
- Polymorph energy (0 for the lowest one): 0.580 eV/atom